Record 1
Below is a relaxed BaScAg crystal, with properties calculated at the PBE-GGA level. Values from VASP.

The energy above the most stable polymorph in this dataset comes out at 0.2041 eV per atom. For the energy of formation, the calculation gives 121 meV/atom.

Quantum ESPRESSO input file:
```
&SYSTEM
  ibrav = 0, nat = 3, ntyp = 3
/
ATOMIC_SPECIES
Ba 137.33 Ba.upf
Sc 44.96 Sc.upf
Ag 107.87 Ag.upf
CELL_PARAMETERS angstrom
4.9160 0.0000 0.0000
-2.4580 4.2574 0.0000
0.0000 0.0000 4.8383
ATOMIC_POSITIONS angstrom
Ba 0.0000 0.0000 0.0000
Sc 2.4580 1.4191 2.4192
Ag 0.0000 2.8383 2.4192
```

---

Record 2
Below is a relaxed SmY2Co6 crystal, with properties calculated at the PBE-GGA level. Values from VASP.

For the energy of formation, the calculation gives -154 meV/atom.

Quantum ESPRESSO input file:
```
&SYSTEM
  ibrav = 0, nat = 9, ntyp = 3
/
ATOMIC_SPECIES
Sm 150.36 Sm.upf
Y 88.91 Y.upf
Co 58.93 Co.upf
CELL_PARAMETERS angstrom
6.6807 0.0000 0.0000
-3.3403 5.7856 0.0000
0.0000 0.0000 4.0919
ATOMIC_POSITIONS angstrom
Sm 0.0000 0.0000 0.0000
Y 0.0000 3.8571 0.0000
Y 3.3403 1.9285 0.0000
Co -1.1166 1.9340 2.0460
Co -2.2237 3.8516 2.0460
Co 2.2332 0.0000 2.0460
Co 1.1166 1.9340 2.0460
Co 4.4475 0.0000 2.0460
Co 2.2237 3.8516 2.0460
```

---

Record 3
Below is a relaxed ZnReOF2 crystal, with properties calculated at the PBE-GGA level. Values from VASP.

The energy above the most stable polymorph in this dataset comes out at 0.4934 eV per atom. Its uncorrected formation energy is -0.381 eV per atom.

Quantum ESPRESSO input file:
```
&SYSTEM
  ibrav = 0, nat = 5, ntyp = 4
/
ATOMIC_SPECIES
Zn 65.41 Zn.upf
Re 186.21 Re.upf
O 16.00 O.upf
F 19.00 F.upf
CELL_PARAMETERS angstrom
3.8935 0.0000 0.0000
0.0000 3.8935 0.0000
0.0000 0.0000 4.3397
ATOMIC_POSITIONS angstrom
Zn 0.0000 0.0000 0.0000
Re 1.9467 1.9467 2.1698
O 0.0000 0.0000 2.1698
F 0.0000 1.9467 0.0000
F 1.9467 0.0000 0.0000
```